{"formula": "GaNiSe2", "functional": "PBE", "state": "optimized geometry", "lattice_angstrom": [[2.1800, 0.0000, 7.3479], [-1.0900, 1.8879, 7.3479], [-1.0900, -1.8879, 7.3479]], "species": ["Ni", "Se", "Ga", "Se"], "fractional_positions": [[0.0000, 0.0000, 0.0000], [0.8985, 0.8985, 0.8985], [0.5000, 0.5000, 0.5000], [0.1015, 0.1015, 0.1015]], "formation_energy_uncorrected_ev_per_atom": -0.036, "spacegroup": "R-3m, No. 166", "dos_ef_per_ev_fu": 3.83, "energy_ev_per_atom": -3.981}